1.
Entry from the Alexandria database: an optimized crystal structure of Ac2Dy4Pb3O2 (GGA-PBE).

Computed properties:
The value obtained for the volume is 301.7 Å³/f.u. For the energy relative to the elements, uncorrected, the calculation gives -15.47 eV/f.u. As for the space group: I4/mmm, No. 139. The density of states at the Fermi level is 6.35 states/eV/cell.

Structure (POSCAR):
```
Ac2Dy4Pb3O2
1.0
-2.385 2.385 13.254
2.385 -2.385 13.254
2.385 2.385 -13.254
Ac Dy Pb O
2 4 3 2
direct
0.195 0.195 0.000
0.805 0.805 0.000
0.080 0.580 0.500
0.420 0.920 0.500
0.580 0.080 0.500
0.920 0.420 0.500
0.332 0.332 0.000
0.500 0.500 0.000
0.668 0.668 0.000
0.090 0.090 0.000
0.910 0.910 0.000
```

2.
Entry from the Alexandria database: an optimized crystal structure of Ac2DyPdO6 (GGA-PBE).

Computed properties:
The value obtained for the volume is 157.5 Å³/f.u. For the energy relative to the elements, uncorrected, the calculation gives -24.96 eV/f.u. As for the space group: Pmmn, No. 59. The density of states at the Fermi level is 1.92 states/eV/cell.

Structure (POSCAR):
```
Ac2DyPdO6
1.0
5.725 0.000 0.000
0.000 8.875 0.000
0.000 0.000 6.199
Ac Dy Pd O
4 2 2 12
direct
0.250 0.039 0.206
0.250 0.461 0.206
0.750 0.539 0.794
0.750 0.961 0.794
0.250 0.250 0.722
0.750 0.750 0.278
0.250 0.750 0.769
0.750 0.250 0.231
0.008 0.250 0.007
0.012 0.250 0.450
0.250 0.007 0.806
0.250 0.493 0.806
0.488 0.250 0.450
0.492 0.250 0.007
0.508 0.750 0.993
0.512 0.750 0.550
0.750 0.507 0.194
0.750 0.993 0.194
0.988 0.750 0.550
0.992 0.750 0.993
```